# TiAlMo2H PBE relaxed
data_TiAlMo2H
_space_group_name_H-M_alt 'P 1'
_space_group_IT_number 1
_space_group_name_Hall 'P 1'
_cell_length_a 3.961
_cell_length_b 3.961
_cell_length_c 4.151
_cell_angle_alpha 90.00
_cell_angle_beta 90.00
_cell_angle_gamma 90.00
loop_
_atom_site_label
_atom_site_fract_x
_atom_site_fract_y
_atom_site_fract_z
Ti1 0.000 0.000 0.000
Al1 0.500 0.500 0.000
Mo1 0.000 0.500 0.500
Mo2 0.500 0.000 0.500
H1 0.000 0.000 0.500
# Fermi-level density of states = 2.9 states/eV/cell
# Energy = -7.50 eV/atom
# Space group = No. 123

# GaHg2Pb8 PBE relaxed
data_GaHg2Pb8
_space_group_name_H-M_alt 'P 1'
_space_group_IT_number 1
_space_group_name_Hall 'P 1'
_cell_length_a 8.241
_cell_length_b 8.241
_cell_length_c 5.116
_cell_angle_alpha 90.94
_cell_angle_beta 90.94
_cell_angle_gamma 105.17
loop_
_atom_site_label
_atom_site_fract_x
_atom_site_fract_y
_atom_site_fract_z
Ga1 0.000 0.000 0.000
Hg1 0.383 0.617 0.500
Hg2 0.617 0.383 0.500
Pb1 0.042 0.304 0.510
Pb2 0.242 0.758 0.000
Pb3 0.304 0.042 0.510
Pb4 0.326 0.326 0.011
Pb5 0.674 0.674 0.989
Pb6 0.696 0.958 0.490
Pb7 0.758 0.242 0.000
Pb8 0.958 0.696 0.490
# Energy above the most stable polymorph in this dataset = 0 kJ/mol of formula units
# Fermi-level density of states = 5.3 states/eV/cell
# Energy = -2.95 eV/atom
# Calculated formation energy = 0.073 eV/atom
# Space group = No. 12

# SrSn4Pt PBE relaxed
data_SrSn4Pt
_space_group_name_H-M_alt 'P 1'
_space_group_IT_number 1
_space_group_name_Hall 'P 1'
_cell_length_a 6.538
_cell_length_b 6.792
_cell_length_c 8.479
_cell_angle_alpha 109.50
_cell_angle_beta 102.71
_cell_angle_gamma 102.55
loop_
_atom_site_label
_atom_site_fract_x
_atom_site_fract_y
_atom_site_fract_z
Sr1 0.027 0.023 0.259
Sr2 0.973 0.977 0.741
Sn1 0.142 0.465 0.672
Sn2 0.345 0.397 0.152
Sn3 0.361 0.853 0.559
Sn4 0.391 0.821 0.064
Sn5 0.609 0.179 0.936
Sn6 0.639 0.147 0.441
Sn7 0.655 0.603 0.848
Sn8 0.858 0.535 0.328
Pt1 0.000 0.500 0.000
Pt2 0.500 0.500 0.500
# Fermi-level density of states = 4.7 states/eV/cell
# Energy = -4.34 eV/atom
# Calculated formation energy = -0.385 eV/atom
# Space group = No. 2

# AcPa2N6 PBE relaxed
data_AcPa2N6
_space_group_name_H-M_alt 'P 1'
_space_group_IT_number 1
_space_group_name_Hall 'P 1'
_cell_length_a 5.827
_cell_length_b 5.827
_cell_length_c 5.472
_cell_angle_alpha 90.00
_cell_angle_beta 90.00
_cell_angle_gamma 120.00
loop_
_atom_site_label
_atom_site_fract_x
_atom_site_fract_y
_atom_site_fract_z
Ac1 0.000 0.000 0.000
Pa1 0.333 0.667 0.500
Pa2 0.667 0.333 0.500
N1 0.000 0.374 0.718
N2 0.000 0.626 0.282
N3 0.374 0.000 0.718
N4 0.374 0.374 0.282
N5 0.626 0.000 0.282
N6 0.626 0.626 0.718
# ΔE_f (raw) = -424.7 meV per atom
# Fermi-level density of states = 10.6 states/eV/cell
# Energy = -8.54 eV/atom
# Space group = No. 162

# CaCe2Pm3Te6 PBE relaxed
data_CaCe2Pm3Te6
_space_group_name_H-M_alt 'P 1'
_space_group_IT_number 1
_space_group_name_Hall 'P 1'
_cell_length_a 10.024
_cell_length_b 10.024
_cell_length_c 9.015
_cell_angle_alpha 103.12
_cell_angle_beta 103.12
_cell_angle_gamma 25.66
loop_
_atom_site_label
_atom_site_fract_x
_atom_site_fract_y
_atom_site_fract_z
Ca1 0.000 0.000 0.000
Ce1 0.330 0.330 0.662
Ce2 0.670 0.670 0.338
Pm1 0.000 0.000 0.500
Pm2 0.332 0.332 0.171
Pm3 0.668 0.668 0.829
Te1 0.165 0.165 0.080
Te2 0.165 0.165 0.584
Te3 0.500 0.500 0.247
Te4 0.500 0.500 0.753
Te5 0.835 0.835 0.416
Te6 0.835 0.835 0.920
# ΔE_f (raw) = -1431.4 meV per atom
# Fermi-level density of states = 17.2 states/eV/cell
# Energy = -5.35 eV/atom
# Space group = No. 12

# Li2CdH PBE relaxed
data_Li2CdH
_space_group_name_H-M_alt 'P 1'
_space_group_IT_number 1
_space_group_name_Hall 'P 1'
_cell_length_a 4.536
_cell_length_b 4.536
_cell_length_c 4.536
_cell_angle_alpha 60.00
_cell_angle_beta 60.00
_cell_angle_gamma 60.00
loop_
_atom_site_label
_atom_site_fract_x
_atom_site_fract_y
_atom_site_fract_z
Li1 0.250 0.250 0.250
Li2 0.750 0.750 0.750
Cd1 0.000 0.000 0.000
H1 0.500 0.500 0.500
# Energy above the most stable polymorph in this dataset = 188 kJ/mol of formula units
# Fermi-level density of states = 1.6 states/eV/cell
# Energy = -1.78 eV/atom
# Space group = No. 225